No. 1
# MgCrBr2 | Alexandria | PBE | optimized geometry
data_MgCrBr2
_chemical_formula_sum 'Mg1 Cr1 Br2'
_space_group_name_H-M_alt 'P 1'
_space_group_IT_number 1
_space_group_name_Hall 'P 1'
_cell_length_a 7.235
_cell_length_b 7.235
_cell_length_c 7.235
_cell_angle_alpha 147.90
_cell_angle_beta 147.90
_cell_angle_gamma 46.03
loop_
_atom_site_label
_atom_site_type_symbol
_atom_site_fract_x
_atom_site_fract_y
_atom_site_fract_z
Br1 Br 0.250 0.750 0.500
Br2 Br 0.000 0.000 0.000
Cr1 Cr 0.500 0.500 0.000
Mg1 Mg 0.750 0.250 0.500
# * mass density: 3.68 g/cm³
# * raw formation energy: -0.463 eV per formula unit

No. 2
# Pr3Cu8Pt | Alexandria | PBE | optimized geometry
data_Pr3Cu8Pt
_chemical_formula_sum 'Pr3 Cu8 Pt1'
_space_group_name_H-M_alt 'P 1'
_space_group_IT_number 1
_space_group_name_Hall 'P 1'
_cell_length_a 5.209
_cell_length_b 5.209
_cell_length_c 9.221
_cell_angle_alpha 73.59
_cell_angle_beta 73.59
_cell_angle_gamma 60.00
loop_
_atom_site_label
_atom_site_type_symbol
_atom_site_fract_x
_atom_site_fract_y
_atom_site_fract_z
Cu1 Cu 0.188 0.188 0.435
Cu2 Cu 0.687 0.687 0.938
Cu3 Cu 0.939 0.443 0.678
Cu4 Cu 0.944 0.431 0.194
Cu5 Cu 0.431 0.944 0.194
Cu6 Cu 0.443 0.939 0.678
Cu7 Cu 0.431 0.431 0.194
Cu8 Cu 0.939 0.939 0.678
Pt1 Pt 0.870 0.870 0.391
Pr1 Pr 0.508 0.508 0.475
Pr2 Pr 0.988 0.988 0.035
Pr3 Pr 0.380 0.380 0.861
# * energy of formation from the pure elements: -175 meV per atom
# * mass density: 9.13 g/cm³

mass density of number 1 (MgCrBr2)?
3.68 g/cm³

Among the records above, which one has the highest mass density?
Pr3Cu8Pt

Which of these has the highest mass density?
Pr3Cu8Pt

Number 1 is which compound?
MgCrBr2